[1]
A relaxed structure of Sm3Si2ClO8, computed with PBE-GGA.

```
Sm3Si2ClO8
1.0
6.325 0.000 0.000
0.000 7.072 0.000
0.000 0.000 18.179
Si O Sm Cl
8 32 12 4
Direct
0.121 0.975 0.100
0.621 0.525 0.900
0.121 0.975 0.400
0.879 0.025 0.600
0.621 0.525 0.600
0.879 0.025 0.900
0.379 0.475 0.400
0.379 0.475 0.100
0.725 0.037 0.825
0.225 0.463 0.175
0.051 0.196 0.905
0.449 0.696 0.595
0.051 0.196 0.595
0.287 0.988 0.031
0.529 0.663 0.118
0.949 0.804 0.405
0.029 0.837 0.618
0.213 0.488 0.469
0.029 0.837 0.882
0.225 0.463 0.325
0.275 0.963 0.175
0.471 0.337 0.882
0.775 0.537 0.825
0.787 0.512 0.969
0.971 0.163 0.118
0.971 0.163 0.382
0.471 0.337 0.618
0.275 0.963 0.325
0.713 0.012 0.531
0.725 0.037 0.675
0.529 0.663 0.382
0.713 0.012 0.969
0.775 0.537 0.675
0.551 0.304 0.095
0.449 0.696 0.905
0.551 0.304 0.405
0.213 0.488 0.031
0.949 0.804 0.095
0.287 0.988 0.469
0.787 0.512 0.531
0.127 0.515 0.591
0.627 0.985 0.409
0.384 0.703 0.250
0.373 0.015 0.591
0.627 0.985 0.091
0.127 0.515 0.909
0.616 0.297 0.750
0.873 0.485 0.409
0.373 0.015 0.909
0.873 0.485 0.091
0.116 0.203 0.250
0.884 0.797 0.750
0.237 0.545 0.750
0.763 0.455 0.250
0.737 0.955 0.250
0.263 0.045 0.750
```

Total magnetization in μB/f.u.: 0.000
Energy relative to the elements, uncorrected in meV/atom: -3182
D(E_F) in states/eV/atom: 0.00
E_tot in eV per atom: -7.933

[2]
A relaxed structure of Pd2Pb2W, computed with PBE-GGA.

```
Pd2Pb2W
1.0
-3.369 -2.152 -1.235
2.058 -3.587 0.636
-2.764 -3.013 5.706
Pd Pb W
2 2 1
Direct
0.599 0.599 0.801
0.401 0.401 0.199
0.750 0.250 0.500
0.250 0.750 0.500
0.000 0.000 0.000
```

Total magnetization in μB/f.u.: 2.744
Calculated formation energy in eV/atom: 1.004
D(E_F) in states/eV/atom: 0.77
Energy above the lowest structure with this stoichiometry in meV per atom: 427.4
E_tot in eV per atom: -5.147

Which value of D(E_F) does entry 2 give? 0.77 states/eV/atom

What did the first record say?
A relaxed structure of Sm3Si2ClO8, computed with PBE-GGA.

```
Sm3Si2ClO8
1.0
6.325 0.000 0.000
0.000 7.072 0.000
0.000 0.000 18.179
Si O Sm Cl
8 32 12 4
Direct
0.121 0.975 0.100
0.621 0.525 0.900
0.121 0.975 0.400
0.879 0.025 0.600
0.621 0.525 0.600
0.879 0.025 0.900
0.379 0.475 0.400
0.379 0.475 0.100
0.725 0.037 0.825
0.225 0.463 0.175
0.051 0.196 0.905
0.449 0.696 0.595
0.051 0.196 0.595
0.287 0.988 0.031
0.529 0.663 0.118
0.949 0.804 0.405
0.029 0.837 0.618
0.213 0.488 0.469
0.029 0.837 0.882
0.225 0.463 0.325
0.275 0.963 0.175
0.471 0.337 0.882
0.775 0.537 0.825
0.787 0.512 0.969
0.971 0.163 0.118
0.971 0.163 0.382
0.471 0.337 0.618
0.275 0.963 0.325
0.713 0.012 0.531
0.725 0.037 0.675
0.529 0.663 0.382
0.713 0.012 0.969
0.775 0.537 0.675
0.551 0.304 0.095
0.449 0.696 0.905
0.551 0.304 0.405
0.213 0.488 0.031
0.949 0.804 0.095
0.287 0.988 0.469
0.787 0.512 0.531
0.127 0.515 0.591
0.627 0.985 0.409
0.384 0.703 0.250
0.373 0.015 0.591
0.627 0.985 0.091
0.127 0.515 0.909
0.616 0.297 0.750
0.873 0.485 0.409
0.373 0.015 0.909
0.873 0.485 0.091
0.116 0.203 0.250
0.884 0.797 0.750
0.237 0.545 0.750
0.763 0.455 0.250
0.737 0.955 0.250
0.263 0.045 0.750
```

Total magnetization in μB/f.u.: 0.000
Energy relative to the elements, uncorrected in meV/atom: -3182
D(E_F) in states/eV/atom: 0.00
E_tot in eV per atom: -7.933